Density functional theory data (PBEsol) for a relaxed structure of AgAsPt2.

Values from the calculation:
Total magnetic moment ... 0.0 μB per cell
VASP energy ... -5.658 eV/atom

Unit cell a=2.8030 b=4.1573 c=5.5339 alpha=90.00 beta=89.98 gamma=90.00
With the nearest neighbours (Å) after each atom.
Fractional coordinates of all 4 atoms:
Pt 0.0000 0.0000 0.7553  2 As 2.51, 3 Pt 2.71-2.80
As 0.0000 0.5000 0.5000  4 Pt 2.51, 2 As 2.80
Ag 0.5000 0.5000 0.0000  2 Ag 2.80, 8 Pt 2.85, 4 As 3.10
Pt 0.0000 0.0000 0.2447  2 As 2.51, 3 Pt 2.71-2.80